Arrangement one

Below is a relaxed structure of PrTlW2O8, with properties calculated at the GGA+U level.

Cell and atoms, written as POSCAR:
```
PrTlW2O8
1.0
7.831 0.021 -0.005
0.089 7.830 -0.005
3.475 3.444 5.766
Pr Tl W O
2 2 4 16
Cartesian
8.701 4.355 4.319 Pr
2.693 6.941 1.436 Pr
4.371 8.723 4.319 Tl
7.023 2.572 1.436 Tl
8.246 8.100 4.510 W
3.149 3.196 1.246 W
4.961 4.843 4.129 W
6.434 6.452 1.627 W
6.902 7.775 3.219 O
4.492 3.521 2.537 O
5.297 6.184 5.420 O
6.097 5.112 0.336 O
5.961 3.529 4.986 O
5.434 7.766 0.769 O
9.551 7.088 3.652 O
1.844 4.208 2.103 O
8.013 6.285 5.607 O
3.382 5.011 0.149 O
6.777 5.060 3.032 O
4.617 6.235 2.723 O
8.555 9.817 3.962 O
2.840 1.478 1.794 O
3.240 4.549 4.677 O
8.154 6.746 1.079 O
```

V	353.9	Å³/cell
SG	No. 15
crystal system	monoclinic

***

Arrangement two

Below is a relaxed structure of PrTlW2O8, with properties calculated at the GGA+U level.

Cell and atoms, written as POSCAR:
```
PrTlW2O8
1.0
-1.938 -5.313 -0.310
3.536 -4.234 -1.284
2.256 -4.304 7.911
Pr Tl W O
1 1 2 8
Cartesian
1.927 -6.925 3.158 Pr
0.000 0.000 0.000 Tl
2.879 -10.381 4.681 W
0.975 -3.470 1.635 W
3.234 -10.611 6.417 O
0.621 -3.239 -0.101 O
0.640 -5.203 2.105 O
1.794 -8.927 4.464 O
3.979 -6.552 4.334 O
3.455 -6.593 1.345 O
0.793 -8.398 1.649 O
0.902 -5.878 5.052 O
```

V	241.4	Å³/cell
SG	No. 155
crystal system	trigonal

***

Arrangement three

Below is a relaxed structure of PrTlW2O8, with properties calculated at the GGA+U level.

Cell and atoms, written as POSCAR:
```
PrTlW2O8
1.0
-6.694 3.573 -5.750
5.985 -4.952 -5.504
-3.216 -4.895 -3.874
Pr Tl W O
2 2 4 16
Cartesian
-1.859 -2.907 -4.914 Pr
-2.065 -3.367 -10.214 Pr
2.359 -2.514 -5.574 Tl
-3.068 1.135 -5.680 Tl
-0.585 -1.112 -8.384 W
-3.340 -5.162 -6.744 W
2.860 -6.379 -7.470 W
-6.785 0.106 -7.658 W
-1.845 -5.491 -11.615 O
-2.080 -0.782 -3.513 O
0.154 -2.284 -3.470 O
-4.078 -3.989 -11.658 O
1.395 -6.681 -8.439 O
-5.319 0.408 -6.689 O
2.561 -4.891 -6.536 O
-6.486 -1.382 -8.592 O
-3.878 -3.584 -5.961 O
-0.047 -2.690 -9.167 O
-2.228 -1.223 -9.209 O
-1.697 -5.050 -5.919 O
-2.965 -4.808 -13.834 O
-0.960 -1.465 -1.294 O
-2.927 -4.597 -8.447 O
-0.997 -1.676 -6.681 O
```

V	458.1	Å³/cell
SG	No. 12
crystal system	monoclinic

***

Most stable one: arrangement one, least stable one: arrangement two.